Entry 1:
The following is a GGA-PBE calculation of La5PrSmY2 after structural relaxation, from the Alexandria database.

Structure (POSCAR):
```
La5PrSmY2
1.0
10.052 0.000 0.000
0.000 8.121 0.000
0.000 0.000 8.121
Y La Pr Sm
4 10 2 2
direct
0.500 0.629 0.129 Y
0.500 0.871 0.629 Y
0.500 0.371 0.871 Y
0.500 0.129 0.371 Y
0.236 0.703 0.797 La
0.500 0.000 0.000 La
0.764 0.703 0.797 La
0.236 0.297 0.203 La
0.500 0.500 0.500 La
0.236 0.203 0.703 La
0.764 0.797 0.297 La
0.764 0.203 0.703 La
0.236 0.797 0.297 La
0.764 0.297 0.203 La
0.000 0.500 0.500 Pr
0.000 0.000 0.000 Pr
0.000 0.000 0.500 Sm
0.000 0.500 0.000 Sm
```

Entry 2:
The following is a GGA-PBE calculation of Pm2ErSc3 after structural relaxation, from the Alexandria database.

Structure (POSCAR):
```
Pm2ErSc3
1.0
14.596 0.000 8.364
6.824 6.923 5.010
5.807 0.569 6.784
Sc Er Pm
6 2 4
direct
0.406 0.631 0.894 Sc
0.516 0.750 0.250 Sc
0.594 0.369 0.106 Sc
0.069 0.131 0.394 Sc
0.484 0.250 0.750 Sc
0.931 0.869 0.606 Sc
0.000 0.500 0.500 Er
0.000 0.000 0.000 Er
0.428 0.123 0.336 Pm
0.113 0.623 0.836 Pm
0.572 0.877 0.664 Pm
0.887 0.377 0.164 Pm
```

Entry 3:
The following is a GGA-PBE calculation of Tb2HoEr2Sc after structural relaxation, from the Alexandria database.

Structure (POSCAR):
```
Tb2HoEr2Sc
1.0
-2.333 1.341 1.921
-4.334 -4.213 -2.323
4.021 -11.098 12.627
Tb Er Sc Ho
4 4 2 2
direct
0.500 0.746 0.681 Tb
0.000 0.754 0.181 Tb
0.500 0.254 0.319 Tb
0.000 0.246 0.819 Tb
0.000 0.255 0.146 Er
0.500 0.755 0.354 Er
0.500 0.245 0.646 Er
0.000 0.745 0.854 Er
0.000 0.000 0.000 Sc
0.500 0.500 0.500 Sc
0.000 0.000 0.500 Ho
0.500 0.500 0.000 Ho
```

What formation energy values result from the calculations? In sequence: 0.28 0.12 0.28 eV/atom.
What total magnetization values result from the calculations? In sequence: 0.00 0.00 0.00 Bohr magnetons per cell.